## TbAl6S8 (PBE)

Data for TbAl6S8 after structural relaxation.

Output
- Total moment: 0.00 μB/f.u.
- Space group: R-3 (148)
- Raw formation energy: -0.842 eV per atom

The structure in POSCAR format:
```
TbAl6S8
1.0
-0.566 -6.549 -1.111
0.535 -0.722 6.606
-6.591 0.981 0.199
Tb Al S
1 6 8
direct
0.000 0.000 0.000
0.660 0.387 0.751
0.387 0.751 0.660
0.751 0.660 0.387
0.340 0.613 0.249
0.613 0.249 0.340
0.249 0.340 0.613
0.736 0.736 0.736
0.264 0.264 0.264
0.624 0.913 0.209
0.913 0.209 0.624
0.209 0.624 0.913
0.376 0.087 0.791
0.087 0.791 0.376
0.791 0.376 0.087
```